A plane-wave DFT calculation with PBE was carried out for an optimized crystal structure of ZnTc2N.

```
ZnTc2N
1.0
-3.2352 3.2352 2.4971
3.2352 -3.2352 2.4971
3.2352 3.2352 -2.4971
Zn Tc N
2 4 2
Direct
0.0000 0.0000 0.0000
0.7500 0.2500 0.5000
0.2227 0.6250 0.0977
0.3750 0.4727 0.5977
0.5273 0.1250 0.9023
0.8750 0.7773 0.4023
0.2500 0.7500 0.5000
0.5000 0.5000 0.0000
```

Results
* calculated volume: 13.07 A^3/atom
* symmetry: I-42d, No. 122
* formation energy from raw total energies: 259 meV/atom
* ΔE to the lowest computed polymorph: 0.05 eV/f.u.